# 1
# K6IF12, optimized geometry, DFT PBE
data_K6IF12
_symmetry_space_group_name_H-M 'R -3'
_symmetry_Int_Tables_number 148
_symmetry_space_group_name_Hall '-R 3'
_cell_length_a 11.5728
_cell_length_b 11.5728
_cell_length_c 10.9405
_cell_angle_alpha 90.00
_cell_angle_beta 90.00
_cell_angle_gamma 120.00
loop_
_atom_site_label
_atom_site_fract_x
_atom_site_fract_y
_atom_site_fract_z
K1 0.0281 0.2372 0.1374
I1 0.0000 0.0000 0.5000
F1 0.0241 0.2284 0.8978
F2 0.0309 0.1566 0.3959
# Calculated total energy in eV for the cell shown: -220.36
# Energy relative to the elements, uncorrected in eV per atom: -2.256
# Magnetization in μB per cell: 3.5
# Density in kg/m3: 2314

=====

# 2
# K3IF8, optimized geometry, DFT PBE
data_K3IF8
_symmetry_space_group_name_H-M 'I 4/m m m'
_symmetry_Int_Tables_number 139
_symmetry_space_group_name_Hall '-I 4 2'
_cell_length_a 5.970
_cell_length_b 5.970
_cell_length_c 11.711
_cell_angle_alpha 90.00
_cell_angle_beta 90.00
_cell_angle_gamma 90.00
loop_
_atom_site_label
_atom_site_fract_x
_atom_site_fract_y
_atom_site_fract_z
K1 0.000 0.000 0.000
K2 0.000 0.500 0.250
I1 0.000 0.000 0.500
F1 0.208 0.208 0.394
# Calculated total energy in eV for the cell shown: -92.95
# Energy relative to the elements, uncorrected in eV per atom: -2.222
# Magnetization in μB per cell: 0.0
# Density in kg/m3: 3152

=====

# 3
# K2IF6, optimized geometry, DFT PBE
data_K2IF6
_symmetry_space_group_name_H-M 'P 1 21/c 1'
_symmetry_Int_Tables_number 14
_symmetry_space_group_name_Hall '-P 2ybc'
_cell_length_a 7.062
_cell_length_b 7.628
_cell_length_c 7.427
_cell_angle_alpha 90.00
_cell_angle_beta 118.54
_cell_angle_gamma 90.00
loop_
_atom_site_label
_atom_site_fract_x
_atom_site_fract_y
_atom_site_fract_z
K1 0.160 0.037 0.299
I1 0.500 0.000 0.000
F1 0.190 0.145 0.965
F2 0.255 0.682 0.381
F3 0.461 0.005 0.709
# Calculated total energy in eV for the cell shown: -66.86
# Energy relative to the elements, uncorrected in eV per atom: -2.051
# Magnetization in μB per cell: 2.0
# Density in kg/m3: 3015

=====

# 4
# KIF3, optimized geometry, DFT PBE
data_KIF3
_symmetry_space_group_name_H-M 'P m -3 m'
_symmetry_Int_Tables_number 221
_symmetry_space_group_name_Hall '-P 4 2 3'
_cell_length_a 4.838
_cell_length_b 4.838
_cell_length_c 4.838
_cell_angle_alpha 90.00
_cell_angle_beta 90.00
_cell_angle_gamma 90.00
loop_
_atom_site_label
_atom_site_fract_x
_atom_site_fract_y
_atom_site_fract_z
K1 0.000 0.000 0.000
I1 0.500 0.500 0.500
F1 0.000 0.500 0.500
# Calculated total energy in eV for the cell shown: -15.72
# Energy relative to the elements, uncorrected in eV per atom: -1.492
# Magnetization in μB per cell: 0.0
# Density in kg/m3: 3269

=====

# 5
# K3IF2, optimized geometry, DFT PBE
data_K3IF2
_symmetry_space_group_name_H-M 'C m c m'
_symmetry_Int_Tables_number 63
_symmetry_space_group_name_Hall '-C 2c 2'
_cell_length_a 12.268
_cell_length_b 7.351
_cell_length_c 7.255
_cell_angle_alpha 90.00
_cell_angle_beta 90.00
_cell_angle_gamma 90.00
loop_
_atom_site_label
_atom_site_fract_x
_atom_site_fract_y
_atom_site_fract_z
K1 0.000 0.047 0.250
K2 0.240 0.289 0.250
I1 0.000 0.415 0.750
F1 0.168 0.000 0.000
# Calculated total energy in eV for the cell shown: -87.09
# Energy relative to the elements, uncorrected in eV per atom: -2.198
# Magnetization in μB per cell: 0.0
# Density in kg/m3: 2865

=====

# 6
# KIF6, optimized geometry, DFT PBE
data_KIF6
_symmetry_space_group_name_H-M 'R -3 m'
_symmetry_Int_Tables_number 166
_symmetry_space_group_name_Hall '-R 3 2"'
_cell_length_a 5.7219
_cell_length_b 5.7219
_cell_length_c 16.1543
_cell_angle_alpha 90.00
_cell_angle_beta 90.00
_cell_angle_gamma 120.00
loop_
_atom_site_label
_atom_site_fract_x
_atom_site_fract_y
_atom_site_fract_z
K1 0.0000 0.0000 0.0000
I1 0.0000 0.0000 0.5000
F1 0.0070 0.5035 0.0929
# Calculated total energy in eV for the cell shown: -87.71
# Energy relative to the elements, uncorrected in eV per atom: -1.920
# Magnetization in μB per cell: 0.0
# Density in kg/m3: 3045